A geometry-optimized DyTiAgHg structure. Source: Alexandria via LeMat-Bulk, functional PBE.

Calculated formation energy (eV per atom): -0.103
Symmetry: F-43m (216)

a = 7.031 Å, b = 7.031 Å, c = 7.031 Å
α = 90.00°, β = 90.00°, γ = 90.00°
Fractional coordinates of all 16 atoms:
Dy1 0.000 0.000 0.000
Dy2 0.000 0.500 0.500
Dy3 0.500 0.000 0.500
Dy4 0.500 0.500 0.000
Ti1 0.000 0.000 0.500
Ti2 0.000 0.500 0.000
Ti3 0.500 0.000 0.000
Ti4 0.500 0.500 0.500
Ag1 0.250 0.250 0.750
Ag2 0.250 0.750 0.250
Ag3 0.750 0.250 0.250
Ag4 0.750 0.750 0.750
Hg1 0.250 0.250 0.250
Hg2 0.250 0.750 0.750
Hg3 0.750 0.250 0.750
Hg4 0.750 0.750 0.250

***

A geometry-optimized LiPm3Mg12 structure. Source: Alexandria via LeMat-Bulk, functional PBE.

Calculated formation energy (eV per atom): -0.063
Symmetry: P4/mmm (123)

a = 4.715 Å, b = 4.715 Å, c = 18.292 Å
α = 90.00°, β = 90.00°, γ = 90.00°
Fractional coordinates of all 16 atoms:
Li1 0.000 0.000 0.000
Pm1 0.000 0.000 0.237
Pm2 0.000 0.000 0.500
Pm3 0.000 0.000 0.763
Mg1 0.000 0.500 0.110
Mg2 0.000 0.500 0.369
Mg3 0.000 0.500 0.631
Mg4 0.000 0.500 0.890
Mg5 0.500 0.000 0.110
Mg6 0.500 0.000 0.369
Mg7 0.500 0.000 0.631
Mg8 0.500 0.000 0.890
Mg9 0.500 0.500 0.000
Mg10 0.500 0.500 0.234
Mg11 0.500 0.500 0.500
Mg12 0.500 0.500 0.766

***

A geometry-optimized HgTeOs2Pb structure. Source: Alexandria via LeMat-Bulk, functional PBE.

Formation energy without anion corrections (eV/atom): 1.81
Symmetry: P4/mmm (123)

a = 4.878 Å, b = 4.878 Å, c = 6.124 Å
α = 90.00°, β = 90.00°, γ = 90.00°
Fractional coordinates of all 5 atoms:
Hg1 0.000 0.000 0.000
Te1 0.500 0.500 0.500
Os1 0.000 0.500 0.500
Os2 0.500 0.000 0.500
Pb1 0.500 0.500 0.000

***

A geometry-optimized Tb7YTh2 structure. Source: Alexandria via LeMat-Bulk, functional PBE.

Calculated formation energy (eV per atom): 0.030
Energy above the lowest structure with this stoichiometry (meV per atom): 0.0
Symmetry: P-1 (2)

a = 6.170 Å, b = 6.198 Å, c = 9.417 Å
α = 102.67°, β = 108.93°, γ = 99.78°
Fractional coordinates of all 10 atoms:
Tb1 0.000 0.000 0.000
Tb2 0.201 0.596 0.196
Tb3 0.208 0.105 0.705
Tb4 0.403 0.200 0.397
Tb5 0.597 0.800 0.603
Tb6 0.792 0.895 0.295
Tb7 0.799 0.404 0.804
Y1 0.000 0.500 0.500
Th1 0.403 0.703 0.902
Th2 0.597 0.297 0.098

***

A geometry-optimized KPdPtPb structure. Source: Alexandria via LeMat-Bulk, functional PBE.

Calculated formation energy (eV per atom): -0.171
Symmetry: R3m (160)

a = 4.567 Å, b = 4.567 Å, c = 18.718 Å
α = 90.00°, β = 90.00°, γ = 120.00°
Fractional coordinates of all 12 atoms:
K1 0.000 0.000 0.000
K2 0.333 0.667 0.667
K3 0.667 0.333 0.333
Pd1 0.000 0.000 0.549
Pd2 0.333 0.667 0.215
Pd3 0.667 0.333 0.882
Pt1 0.000 0.000 0.196
Pt2 0.333 0.667 0.863
Pt3 0.667 0.333 0.529
Pb1 0.000 0.000 0.806
Pb2 0.333 0.667 0.472
Pb3 0.667 0.333 0.139

***

A geometry-optimized BaSi structure. Source: Alexandria via LeMat-Bulk, functional PBE.

Formation energy without anion corrections (eV/atom): 0.12
Symmetry: I4_1/amd (141)

a = 4.779 Å, b = 4.779 Å, c = 10.831 Å
α = 90.00°, β = 90.00°, γ = 90.00°
Fractional coordinates of all 8 atoms:
Ba1 0.000 0.250 0.375
Ba2 0.000 0.750 0.625
Ba3 0.500 0.250 0.125
Ba4 0.500 0.750 0.875
Si1 0.000 0.250 0.875
Si2 0.000 0.750 0.125
Si3 0.500 0.250 0.625
Si4 0.500 0.750 0.375

***

A geometry-optimized RbSn2Pt structure. Source: Alexandria via LeMat-Bulk, functional PBE.

Calculated formation energy (eV per atom): -0.424
Symmetry: R-3m (166)

a = 4.438 Å, b = 4.438 Å, c = 22.327 Å
α = 90.00°, β = 90.00°, γ = 120.00°
Fractional coordinates of all 12 atoms:
Rb1 0.000 0.000 0.000
Rb2 0.333 0.667 0.667
Rb3 0.667 0.333 0.333
Sn1 0.000 0.000 0.212
Sn2 0.000 0.000 0.788
Sn3 0.333 0.667 0.454
Sn4 0.333 0.667 0.879
Sn5 0.667 0.333 0.121
Sn6 0.667 0.333 0.546
Pt1 0.000 0.000 0.500
Pt2 0.333 0.667 0.167
Pt3 0.667 0.333 0.833

***

A geometry-optimized Nd6Sb2Pt structure. Source: Alexandria via LeMat-Bulk, functional PBE.

Formation energy without anion corrections (eV/atom): -0.75
Symmetry: P2_1/c (14)

a = 6.502 Å, b = 8.368 Å, c = 12.169 Å
α = 90.00°, β = 120.59°, γ = 90.00°
Fractional coordinates of all 18 atoms:
Nd1 0.083 0.185 0.453
Nd2 0.083 0.315 0.953
Nd3 0.318 0.674 0.456
Nd4 0.318 0.826 0.956
Nd5 0.368 0.028 0.242
Nd6 0.368 0.472 0.742
Nd7 0.632 0.528 0.258
Nd8 0.632 0.972 0.758
Nd9 0.682 0.174 0.044
Nd10 0.682 0.326 0.544
Nd11 0.917 0.685 0.047
Nd12 0.917 0.815 0.547
Sb1 0.157 0.115 0.749
Sb2 0.157 0.385 0.249
Sb3 0.843 0.615 0.751
Sb4 0.843 0.885 0.251
Pt1 0.500 0.000 0.500
Pt2 0.500 0.500 0.000

***

A geometry-optimized CdInHgF2 structure. Source: Alexandria via LeMat-Bulk, functional PBE.

Energy above the lowest structure with this stoichiometry (meV per atom): 0.0
Formation energy without anion corrections (eV/atom): -1.16
Symmetry: P4/mmm (123)

a = 4.434 Å, b = 4.434 Å, c = 5.983 Å
α = 90.00°, β = 90.00°, γ = 90.00°
Fractional coordinates of all 5 atoms:
Cd1 0.000 0.000 0.000
In1 0.000 0.000 0.500
Hg1 0.500 0.500 0.000
F1 0.000 0.500 0.500
F2 0.500 0.000 0.500

***

A geometry-optimized Sm6Dy4Tm structure. Source: Alexandria via LeMat-Bulk, functional PBE.

Calculated formation energy (eV per atom): 0.301
Energy above the lowest structure with this stoichiometry (meV per atom): 179.3
Symmetry: I-42m (121)

a = 9.760 Å, b = 9.760 Å, c = 9.760 Å
α = 140.37°, β = 140.37°, γ = 57.29°
Fractional coordinates of all 11 atoms:
Sm1 0.000 0.500 0.500
Sm2 0.013 0.636 0.000
Sm3 0.364 0.364 0.377
Sm4 0.500 0.000 0.500
Sm5 0.636 0.013 0.000
Sm6 0.987 0.987 0.623
Dy1 0.193 0.193 0.642
Dy2 0.449 0.807 0.000
Dy3 0.551 0.551 0.358
Dy4 0.807 0.449 0.000
Tm1 0.000 0.000 0.000

***

A geometry-optimized NdY5Ag4 structure. Source: Alexandria via LeMat-Bulk, functional PBE.

Calculated formation energy (eV per atom): -0.258
Symmetry: P4/mmm (123)

a = 3.623 Å, b = 3.623 Å, c = 19.885 Å
α = 90.00°, β = 90.00°, γ = 90.00°
Fractional coordinates of all 10 atoms:
Nd1 0.000 0.000 0.000
Y1 0.500 0.500 0.129
Y2 0.500 0.500 0.314
Y3 0.500 0.500 0.500
Y4 0.500 0.500 0.686
Y5 0.500 0.500 0.871
Ag1 0.000 0.000 0.221
Ag2 0.000 0.000 0.407
Ag3 0.000 0.000 0.593
Ag4 0.000 0.000 0.779

***

A geometry-optimized HoIn3Hg structure. Source: Alexandria via LeMat-Bulk, functional PBE.

Calculated formation energy (eV per atom): -0.094
Energy above the lowest structure with this stoichiometry (meV per atom): 0.0
Symmetry: Pmma (51)

a = 9.046 Å, b = 3.301 Å, c = 9.916 Å
α = 90.00°, β = 90.00°, γ = 90.00°
Fractional coordinates of all 10 atoms:
Ho1 0.250 0.000 0.147
Ho2 0.750 0.000 0.853
In1 0.000 0.500 0.000
In2 0.060 0.500 0.364
In3 0.440 0.500 0.364
In4 0.500 0.500 0.000
In5 0.560 0.500 0.636
In6 0.940 0.500 0.636
Hg1 0.250 0.500 0.769
Hg2 0.750 0.500 0.231

***

Density of states at the Fermi level list, top to bottom, in states/eV/f.u.: 3.6 11.2 4.8 15.1 2.1 2.5 1.9 10.6 2.4 16.1 8.0 2.8